Tb7Co2Sb2: relaxed, PBE.

Summary:
Total magnetization, μB/cell: 0.001
N(E_F), states/eV/atom: 1.04
Formation energy from raw total energies, kJ/mol of atoms: -44.0
Total energy, eV per atom: -5.44

Cell lengths 3.7025, 16.0453, 9.8088 Å; angles 90.00, 90.00, 90.00 degrees
Space group Imm2 (No. 44)
Inequivalent atoms, fractional coordinates:
Tb 0.0000 0.0000 0.0000
Tb 0.0000 0.1301 0.5672
Tb 0.0000 0.3162 0.3730
Tb 0.0000 0.3477 0.7201
Co 0.0000 0.2388 0.0609
Sb 0.0000 0.0000 0.3233
Sb 0.0000 0.5000 0.2359